# 1
VZnSbTe2 | PBE-GGA | relaxed

POSCAR file:
```
VZnSbTe2
1.0
5.295 0.000 0.000
0.000 5.295 0.000
0.000 0.000 5.047
V Zn Sb Te
1 1 1 2
Direct
0.000 0.000 0.000
0.500 0.500 0.500
0.500 0.500 0.000
0.000 0.500 0.500
0.500 0.000 0.500
```

Summary:
Its calculated density is 5.788 Mg/m³. For the density of states at the Fermi level, the calculation gives 9.21 states/eV/f.u. As for the energy above the lowest structure with this stoichiometry: 703.9 meV/atom. The calculation puts the formation energy without anion corrections at 1.02 eV per atom.

# 2
TcAuN2F | PBE-GGA | relaxed

POSCAR file:
```
TcAuN2F
1.0
3.886 0.000 0.000
0.000 3.886 0.000
0.000 0.000 4.225
Tc Au N F
1 1 2 1
Direct
0.000 0.000 0.000
0.500 0.500 0.500
0.000 0.500 0.000
0.500 0.000 0.000
0.000 0.000 0.500
```

Summary:
Its calculated density is 8.899 Mg/m³. For the density of states at the Fermi level, the calculation gives 2.01 states/eV/f.u. As for the energy above the lowest structure with this stoichiometry: 0.0 meV/atom. The calculation puts the formation energy without anion corrections at 0.40 eV per atom.

# 3
Sc4CoAs | PBE-GGA | relaxed

POSCAR file:
```
Sc4CoAs
1.0
0.000 3.959 3.959
3.959 0.000 3.959
3.959 3.959 0.000
Sc Co As
4 1 1
Direct
0.376 0.376 0.376
0.376 0.376 0.873
0.376 0.873 0.376
0.873 0.376 0.376
0.750 0.750 0.750
0.000 0.000 0.000
```

Summary:
Its calculated density is 4.197 Mg/m³. The calculated formation energy comes out at 0.444 eV per atom. For the density of states at the Fermi level, the calculation gives 9.38 states/eV/f.u. As for the energy above the lowest structure with this stoichiometry: 1058.4 meV/atom.

# 4
KTi2I6 | PBE-GGA | relaxed

POSCAR file:
```
KTi2I6
1.0
7.390 0.000 0.000
-3.695 6.400 0.000
0.000 0.000 7.897
K Ti I
1 2 6
Direct
0.000 0.000 0.000
0.333 0.667 0.500
0.667 0.333 0.500
0.000 0.369 0.706
0.000 0.631 0.294
0.369 0.000 0.706
0.369 0.369 0.294
0.631 0.000 0.294
0.631 0.631 0.706
```

Summary:
Its calculated density is 3.985 Mg/m³. For the density of states at the Fermi level, the calculation gives 11.48 states/eV/f.u. The calculation puts the formation energy without anion corrections at -0.87 eV per atom.

What is the formula in the third record? Sc4CoAs

Among the records above, which one has the lowest calculated density? KTi2I6